This record from the Alexandria database describes PmCu3B after structural relaxation. The functional is PBE-GGA.

Unit cell a=4.1966 b=4.1966 c=4.1966 alpha=90.00 beta=90.00 gamma=90.00
Last column: nearest neighbours and their distance in Å.
Fractional positions:
B 0.0000 0.0000 0.0000  6 Cu 2.10
Cu 0.0000 0.5000 0.0000  2 B 2.10
Cu 0.0000 0.0000 0.5000  2 B 2.10
Cu 0.5000 0.0000 0.0000  2 B 2.10
Pm 0.5000 0.5000 0.5000  12 Cu 2.97

As for the volume: 73.9 Å³/cell. Its space-group type is No. 221. The uncorrected energy is -0.3513 Ry per atom.



This record from the Alexandria database describes PmCuB2Pt5 after structural relaxation. The functional is PBE-GGA.

Unit cell a=4.0480 b=4.0480 c=8.8744 alpha=90.00 beta=90.00 gamma=90.00
Last column: nearest neighbours and their distance in Å.
Fractional positions:
Pm 0.0000 0.0000 0.5000  4 Pt 2.86
Cu 0.0000 0.0000 0.0000  8 Pt 2.60
B 0.5000 0.5000 0.2588  5 Pt 2.13-2.14
B 0.5000 0.5000 0.7412  5 Pt 2.13-2.14
Pt 0.0000 0.5000 0.1847  2 B 2.13
Pt 0.5000 0.0000 0.1847  2 B 2.13
Pt 0.0000 0.5000 0.8153  2 B 2.13
Pt 0.5000 0.0000 0.8153  2 B 2.13
Pt 0.5000 0.5000 0.5000  2 B 2.14

As for the volume: 145.4 Å³/cell. Its space-group type is No. 123. The uncorrected energy is -0.4612 Ry per atom.



This record from the Alexandria database describes Pm2CuB2Rh5 after structural relaxation. The functional is PBE-GGA.

Unit cell a=3.2365 b=9.5888 c=9.5888 alpha=90.00 beta=90.00 gamma=90.00
Last column: nearest neighbours and their distance in Å.
Fractional positions:
Pm 0.0000 0.6767 0.1767  3 B 2.71-2.92, 10 Rh 2.89-3.02
Pm 0.0000 0.3233 0.8233  3 B 2.71-2.92, 10 Rh 2.89-3.02
Pm 0.0000 0.1767 0.3233  3 B 2.71-2.92, 10 Rh 2.89-3.02
Pm 0.0000 0.8233 0.6767  3 B 2.71-2.92, 10 Rh 2.89-3.02
Cu 0.0000 0.0000 0.0000  8 Rh 2.75
Cu 0.0000 0.5000 0.5000  8 Rh 2.75
B 0.0000 0.1234 0.6234  6 Rh 2.26-2.33
B 0.0000 0.8766 0.3766  6 Rh 2.26-2.33
B 0.0000 0.6234 0.8766  6 Rh 2.26-2.33
B 0.0000 0.3766 0.1234  6 Rh 2.26-2.33
Rh 0.5000 0.2216 0.0693  2 B 2.26
Rh 0.5000 0.7784 0.9307  2 B 2.26
Rh 0.5000 0.0693 0.7784  2 B 2.26
Rh 0.5000 0.7216 0.4307  2 B 2.26
Rh 0.5000 0.9307 0.2216  2 B 2.26
Rh 0.5000 0.2784 0.5693  2 B 2.26
Rh 0.5000 0.5693 0.7216  2 B 2.26
Rh 0.5000 0.4307 0.2784  2 B 2.26
Rh 0.5000 0.5000 0.0000  4 B 2.33
Rh 0.5000 0.0000 0.5000  4 B 2.33

As for the volume: 297.6 Å³/cell. Its space-group type is No. 127. The uncorrected energy is -0.5091 Ry per atom.



This record from the Alexandria database describes Pr3CuB2Pt9 after structural relaxation. The functional is PBE-GGA.

Unit cell a=5.8133 b=5.8133 c=9.3013 alpha=90.00 beta=90.00 gamma=120.00
Last column: nearest neighbours and their distance in Å.
Fractional positions:
Pr 0.3333 0.6667 0.6035  9 Pt 3.08-3.39
Pr 0.0000 0.0000 0.0000  12 Pt 2.91-3.15
Pr 0.6667 0.3333 0.3965  9 Pt 3.08-3.39
Cu 0.0000 0.0000 0.5000  6 Pt 2.58
B 0.3333 0.6667 0.1512  6 Pt 2.12-2.19
B 0.6667 0.3333 0.8488  6 Pt 2.12-2.19
Pt 0.8353 0.1647 0.7124  1 B 2.12
Pt 0.8353 0.6707 0.7124  1 B 2.12
Pt 0.3293 0.1647 0.7124  1 B 2.12
Pt 0.6707 0.8353 0.2876  1 B 2.12
Pt 0.1647 0.3293 0.2876  1 B 2.12
Pt 0.1647 0.8353 0.2876  1 B 2.12
Pt 0.5000 0.0000 0.0000  2 B 2.19
Pt 0.0000 0.5000 0.0000  2 B 2.19
Pt 0.5000 0.5000 0.0000  2 B 2.19

As for the volume: 272.2 Å³/cell. Its space-group type is No. 164. The uncorrected energy is -0.4768 Ry per atom.



This record from the Alexandria database describes Pr2CuB3Pt12 after structural relaxation. The functional is PBE-GGA.

Unit cell a=7.4079 b=7.4079 c=7.4079 alpha=64.99 beta=64.99 gamma=64.99
Last column: nearest neighbours and their distance in Å.
Fractional positions:
Pr 0.6086 0.6086 0.6086  6 Pt 2.95-3.10
Pr 0.3914 0.3914 0.3914  6 Pt 2.95-3.10
Cu 0.0000 0.0000 0.0000  6 Pt 2.42
B 0.5000 0.0000 0.0000  6 Pt 2.10-2.16
B 0.0000 0.5000 0.0000  6 Pt 2.10-2.16
B 0.0000 0.0000 0.5000  6 Pt 2.10-2.16
Pt 0.3256 0.3256 0.9126  2 B 2.16
Pt 0.8812 0.8812 0.3766  1 B 2.10
Pt 0.3766 0.8812 0.8812  1 B 2.10
Pt 0.9126 0.3256 0.3256  2 B 2.16
Pt 0.8812 0.3766 0.8812  1 B 2.10
Pt 0.3256 0.9126 0.3256  2 B 2.16
Pt 0.6744 0.6744 0.0874  2 B 2.16
Pt 0.1188 0.1188 0.6234  1 B 2.10
Pt 0.6234 0.1188 0.1188  1 B 2.10
Pt 0.0874 0.6744 0.6744  2 B 2.16
Pt 0.1188 0.6234 0.1188  1 B 2.10
Pt 0.6744 0.0874 0.6744  2 B 2.16

As for the volume: 318.8 Å³/cell. Its space-group type is No. 166. The uncorrected energy is -0.4622 Ry per atom.



This record from the Alexandria database describes Pr3Cu2BRh3 after structural relaxation. The functional is PBE-GGA.

Unit cell a=3.5026 b=7.4578 c=7.4578 alpha=120.00 beta=90.00 gamma=90.00
Last column: nearest neighbours and their distance in Å.
Fractional positions:
Pr 0.0000 0.0000 0.3785  1 B 2.82, 4 Cu 2.92, 4 Rh 3.01
Pr 0.0000 0.6215 0.6215  1 B 2.82, 4 Cu 2.92, 4 Rh 3.01
Pr 0.0000 0.3785 0.0000  1 B 2.82, 4 Cu 2.92, 4 Rh 3.01
Cu 0.5000 0.3333 0.6667  6 Pr 2.92, 3 Rh 3.03
Cu 0.5000 0.6667 0.3333  6 Pr 2.92, 3 Rh 3.03
B 0.0000 0.0000 0.0000  6 Rh 2.37
Rh 0.5000 0.7862 0.0000  2 B 2.37
Rh 0.5000 0.2138 0.2138  2 B 2.37
Rh 0.5000 0.0000 0.7862  2 B 2.37

As for the volume: 168.7 Å³/cell. Its space-group type is No. 189. The uncorrected energy is -0.4462 Ry per atom.



This record from the Alexandria database describes Pr2CuB2Rh5 after structural relaxation. The functional is PBE-GGA.

Unit cell a=3.2567 b=9.6731 c=9.6731 alpha=90.00 beta=90.00 gamma=90.00
Last column: nearest neighbours and their distance in Å.
Fractional positions:
Pr 0.0000 0.6773 0.1773  3 B 2.74-2.95, 10 Rh 2.92-3.04
Pr 0.0000 0.3227 0.8227  3 B 2.74-2.95, 10 Rh 2.92-3.04
Pr 0.0000 0.1773 0.3227  3 B 2.74-2.95, 10 Rh 2.92-3.04
Pr 0.0000 0.8227 0.6773  3 B 2.74-2.95, 10 Rh 2.92-3.04
Cu 0.0000 0.0000 0.0000  8 Rh 2.79
Cu 0.0000 0.5000 0.5000  8 Rh 2.79
B 0.0000 0.1225 0.6225  6 Rh 2.27-2.34
B 0.0000 0.8775 0.3775  6 Rh 2.27-2.34
B 0.0000 0.6225 0.8775  6 Rh 2.27-2.34
B 0.0000 0.3775 0.1225  6 Rh 2.27-2.34
Rh 0.5000 0.2233 0.0689  2 B 2.27
Rh 0.5000 0.7767 0.9311  2 B 2.27
Rh 0.5000 0.0689 0.7767  2 B 2.27
Rh 0.5000 0.7233 0.4311  2 B 2.27
Rh 0.5000 0.9311 0.2233  2 B 2.27
Rh 0.5000 0.2767 0.5689  2 B 2.27
Rh 0.5000 0.5689 0.7233  2 B 2.27
Rh 0.5000 0.4311 0.2767  2 B 2.27
Rh 0.5000 0.5000 0.0000  4 B 2.34
Rh 0.5000 0.0000 0.5000  4 B 2.34

As for the volume: 304.7 Å³/cell. Its space-group type is No. 127. The uncorrected energy is -0.5044 Ry per atom.



This record from the Alexandria database describes CuB3Pt after structural relaxation. The functional is PBE-GGA.

Unit cell a=4.1291 b=4.1291 c=4.1291 alpha=90.00 beta=90.00 gamma=90.00
Last column: nearest neighbours and their distance in Å.
Fractional positions:
B 0.0000 0.5000 0.0000  2 Pt 2.06
B 0.0000 0.0000 0.5000  2 Pt 2.06
B 0.5000 0.0000 0.0000  2 Pt 2.06
Cu 0.5000 0.5000 0.5000  12 B 2.92
Pt 0.0000 0.0000 0.0000  6 B 2.06

Its energy above the most stable polymorph in this dataset is 0.0000 eV per atom. As for the volume: 70.4 Å³/cell. Its space-group type is No. 221. The uncorrected energy is -0.3495 Ry per atom.



This record from the Alexandria database describes CuBPt2 after structural relaxation. The functional is PBE-GGA.

Unit cell a=3.6196 b=7.6667 c=8.2488 alpha=90.00 beta=90.00 gamma=90.00
Last column: nearest neighbours and their distance in Å.
Fractional positions:
Cu 0.7500 0.4280 0.6255  2 B 2.46, 5 Pt 2.61-2.74
Cu 0.2500 0.0720 0.1255  2 B 2.46, 5 Pt 2.61-2.74
Cu 0.2500 0.5720 0.3745  2 B 2.46, 5 Pt 2.61-2.74
Cu 0.7500 0.9280 0.8745  2 B 2.46, 5 Pt 2.61-2.74
B 0.7500 0.0336 0.3241  5 Pt 2.10-2.26
B 0.2500 0.4664 0.8241  5 Pt 2.10-2.26
B 0.2500 0.9664 0.6759  5 Pt 2.10-2.26
B 0.7500 0.5336 0.1759  5 Pt 2.10-2.26
Pt 0.7500 0.0856 0.5939  3 B 2.14-2.26
Pt 0.2500 0.4144 0.0939  3 B 2.14-2.26
Pt 0.2500 0.9144 0.4061  3 B 2.14-2.26
Pt 0.7500 0.5856 0.9061  3 B 2.14-2.26
Pt 0.7500 0.8073 0.1708  2 B 2.10-2.15
Pt 0.2500 0.6927 0.6708  2 B 2.10-2.15
Pt 0.2500 0.1927 0.8292  2 B 2.10-2.15
Pt 0.7500 0.3073 0.3292  2 B 2.10-2.15

As for the volume: 228.9 Å³/cell. Its space-group type is No. 62. The uncorrected energy is -0.4236 Ry per atom.



This record from the Alexandria database describes CuBPt after structural relaxation. The functional is PBE-GGA.

Unit cell a=3.6953 b=3.6953 c=3.6953 alpha=60.00 beta=60.00 gamma=60.00
Last column: nearest neighbours and their distance in Å.
Fractional positions:
B 0.2500 0.2500 0.2500  4 Cu 2.26, 4 Pt 2.26
Cu 0.5000 0.5000 0.5000  4 B 2.26
Pt 0.0000 0.0000 0.0000  4 B 2.26

As for the volume: 35.7 Å³/cell. Its space-group type is No. 216. The uncorrected energy is -0.4162 Ry per atom.



This record from the Alexandria database describes Cu5BPt2 after structural relaxation. The functional is PBE-GGA.

Unit cell a=2.7279 b=6.4306 c=11.2815 alpha=90.00 beta=90.00 gamma=90.00
Last column: nearest neighbours and their distance in Å.
Fractional positions:
Cu 0.0000 0.0000 0.0000  8 Cu 2.53-2.73, 4 Pt 2.74
Cu 0.0000 0.5000 0.5000  8 Cu 2.53-2.73, 4 Pt 2.74
Cu 0.0000 0.4777 0.7243  7 Cu 2.53-2.73, 4 Pt 2.69
Cu 0.0000 0.5223 0.2757  7 Cu 2.53-2.73, 4 Pt 2.69
Cu 0.0000 0.0223 0.2243  7 Cu 2.53-2.73, 4 Pt 2.69
Cu 0.0000 0.9777 0.7757  7 Cu 2.53-2.73, 4 Pt 2.69
Cu 0.5000 0.2637 0.8716  2 B 2.50, 8 Cu 2.53-2.73, 2 Pt 2.68-2.70
Cu 0.5000 0.7363 0.1285  2 B 2.50, 8 Cu 2.53-2.73, 2 Pt 2.68-2.70
Cu 0.5000 0.2363 0.3715  2 B 2.50, 8 Cu 2.53-2.73, 2 Pt 2.68-2.70
Cu 0.5000 0.7637 0.6285  2 B 2.50, 8 Cu 2.53-2.73, 2 Pt 2.68-2.70
B 0.0000 0.0000 0.5000  4 Pt 2.16
B 0.0000 0.5000 0.0000  4 Pt 2.16
Pt 0.5000 0.1818 0.6067  2 B 2.16
Pt 0.5000 0.8182 0.3933  2 B 2.16
Pt 0.5000 0.3182 0.1067  2 B 2.16
Pt 0.5000 0.6818 0.8933  2 B 2.16

As for the volume: 197.9 Å³/cell. Its space-group type is No. 55. The uncorrected energy is -0.3655 Ry per atom.



This record from the Alexandria database describes CuBPt2 after structural relaxation. The functional is PBE-GGA.

Unit cell a=5.5108 b=5.0453 c=7.5886 alpha=90.00 beta=90.19 gamma=90.00
Last column: nearest neighbours and their distance in Å.
Fractional positions:
Cu 0.2505 0.2569 0.1272  1 B 2.33
Cu 0.2495 0.7569 0.8728  1 B 2.33
Cu 0.7505 0.2431 0.1272  1 B 2.33
Cu 0.7495 0.7431 0.8728  1 B 2.33
B 0.7482 0.0637 0.6510  6 Pt 2.14-2.34, 1 Cu 2.33
B 0.2482 0.4363 0.6510  6 Pt 2.14-2.34, 1 Cu 2.33
B 0.2518 0.9363 0.3490  6 Pt 2.14-2.34, 1 Cu 2.33
B 0.7518 0.5637 0.3490  6 Pt 2.14-2.34, 1 Cu 2.33
Pt 0.5016 0.7503 0.1728  2 B 2.14
Pt 0.0016 0.7497 0.1728  2 B 2.14
Pt 0.0041 0.2498 0.4397  4 B 2.20-2.34
Pt 0.9984 0.2503 0.8272  2 B 2.14
Pt 0.9959 0.7502 0.5603  4 B 2.20-2.34
Pt 0.4959 0.7498 0.5603  4 B 2.20-2.34
Pt 0.4984 0.2497 0.8272  2 B 2.14
Pt 0.5041 0.2502 0.4397  4 B 2.20-2.34

As for the volume: 211.0 Å³/cell. Its space-group type is No. 14. The uncorrected energy is -0.4319 Ry per atom.



The highest uncorrected energy belongs to which entry?
CuB3Pt